Record 1
DFT (PBE) results for a geometry-optimized Pr3Si2BO10 structure.

CIF file:
```
data_Pr3Si2BO10
_chemical_formula_sum 'Pr24 Si16 B8 O80'
_symmetry_space_group_name_H-M 'P b c a'
_symmetry_Int_Tables_number 61
_cell_length_a 7.2293
_cell_length_b 23.4108
_cell_length_c 9.9396
_cell_angle_alpha 90.00
_cell_angle_beta 90.00
_cell_angle_gamma 90.00
loop_
_symmetry_equiv_pos_as_xyz
'x,y,z'
'-x,-y,-z'
'-x+1/2,-y,z+1/2'
'x+1/2,y,-z+1/2'
'x+1/2,-y+1/2,-z'
'-x+1/2,y+1/2,z'
'-x,y+1/2,-z+1/2'
'x,-y+1/2,z+1/2'
loop_
_atom_site_label
_atom_site_type_symbol
_atom_site_fract_x
_atom_site_fract_y
_atom_site_fract_z
_atom_site_occupancy
Pr1 Pr 0.0923 0.1826 0.2325 1
Pr2 Pr 0.1391 0.5720 0.5097 1
Pr3 Pr 0.1784 0.6638 0.8664 1
Si1 Si 0.1461 0.5788 0.1242 1
Si2 Si 0.1857 0.7206 0.5618 1
B1 B 0.1605 0.0277 0.7569 1
O1 O 0.0336 0.0995 0.4619 1
O2 O 0.0362 0.6722 0.6086 1
O3 O 0.0815 0.0090 0.8722 1
O4 O 0.1283 0.2104 0.6545 1
O5 O 0.1324 0.7123 0.0979 1
O6 O 0.1489 0.6099 0.2738 1
O7 O 0.1673 0.5082 0.1402 1
O8 O 0.1721 0.1065 0.0495 1
O9 O 0.2042 0.7215 0.3964 1
O10 O 0.2381 0.0806 0.7393 1
```

Values from the calculation:
* formation energy without anion corrections: -3.13 eV/atom

=====

Record 2
DFT (PBE) results for a geometry-optimized PrSm3B4O12 structure.

CIF file:
```
data_PrSm3B4O12
_chemical_formula_sum 'Pr3 Sm9 B12 O36'
_symmetry_space_group_name_H-M 'R 3 2'
_symmetry_Int_Tables_number 155
_symmetry_space_group_name_Hall 'R 3 2"'
_cell_length_a 10.3118
_cell_length_b 10.3118
_cell_length_c 8.8163
_cell_angle_alpha 90.00
_cell_angle_beta 90.00
_cell_angle_gamma 120.00
loop_
_atom_site_label
_atom_site_type_symbol
_atom_site_fract_x
_atom_site_fract_y
_atom_site_fract_z
_atom_site_occupancy
Pr1 Pr 0.0000 0.0000 0.0000 1
Sm1 Sm 0.0000 0.5295 0.0000 1
B1 B 0.0000 0.0000 0.5000 1
B2 B 0.0000 0.4690 0.5000 1
O1 O 0.0000 0.6028 0.5000 1
O2 O 0.0000 0.8662 0.5000 1
O3 O 0.0025 0.1963 0.8324 1
```

Values from the calculation:
* formation energy without anion corrections: -3.02 eV/atom

=====

Record 3
DFT (PBE) results for a geometry-optimized Sr3Pr2B4O12 structure.

CIF file:
```
data_Sr3Pr2B4O12
_chemical_formula_sum 'Sr12 Pr8 B16 O48'
_symmetry_space_group_name_H-M 'P n a 21'
_symmetry_Int_Tables_number 33
_cell_length_a 7.3993
_cell_length_b 8.9023
_cell_length_c 16.7974
_cell_angle_alpha 90.00
_cell_angle_beta 90.00
_cell_angle_gamma 90.00
loop_
_symmetry_equiv_pos_as_xyz
'x,y,z'
'-x,-y,z+1/2'
'-x+1/2,y+1/2,z+1/2'
'x+1/2,-y+1/2,z'
loop_
_atom_site_label
_atom_site_type_symbol
_atom_site_fract_x
_atom_site_fract_y
_atom_site_fract_z
_atom_site_occupancy
Sr1 Sr 0.0370 0.1724 0.0000 1
Sr2 Sr 0.1793 0.6505 0.7051 1
Sr3 Sr 0.1932 0.6482 0.9533 1
Pr1 Pr 0.0313 0.1707 0.6615 1
Pr2 Pr 0.1845 0.5343 0.3325 1
B1 B 0.0151 0.1292 0.3268 1
B2 B 0.1622 0.4380 0.5393 1
B3 B 0.1735 0.4516 0.1234 1
B4 B 0.2217 0.3559 0.8303 1
O1 O 0.0390 0.9449 0.7567 1
O2 O 0.0474 0.9266 0.8991 1
O3 O 0.0826 0.2958 0.5388 1
O4 O 0.1036 0.3084 0.1257 1
O5 O 0.1160 0.5387 0.4802 1
O6 O 0.1168 0.2598 0.3234 1
O7 O 0.1174 0.5607 0.1785 1
O8 O 0.1367 0.4929 0.8305 1
O9 O 0.1907 0.9915 0.5705 1
O10 O 0.2089 0.9711 0.0971 1
O11 O 0.2321 0.7812 0.3991 1
O12 O 0.2476 0.7803 0.2586 1
```

Values from the calculation:
* formation energy without anion corrections: -2.94 eV/atom

=====

Record 4
DFT (PBE) results for a geometry-optimized PrB2TeO8 structure.

CIF file:
```
data_PrB2TeO8
_chemical_formula_sum 'Pr1 B2 Te1 O8'
_symmetry_space_group_name_H-M 'P -3 m 1'
_symmetry_Int_Tables_number 164
_symmetry_space_group_name_Hall '-P 3 2"'
_cell_length_a 4.9481
_cell_length_b 4.9481
_cell_length_c 6.8122
_cell_angle_alpha 90.00
_cell_angle_beta 90.00
_cell_angle_gamma 120.00
loop_
_atom_site_label
_atom_site_type_symbol
_atom_site_fract_x
_atom_site_fract_y
_atom_site_fract_z
_atom_site_occupancy
Pr1 Pr 0.0000 0.0000 0.0000 1
B1 B 0.3333 0.6667 0.2532 1
Te1 Te 0.0000 0.0000 0.5000 1
O1 O 0.1680 0.3361 0.3111 1
O2 O 0.3333 0.6667 0.0402 1
```

Values from the calculation:
* formation energy without anion corrections: -1.85 eV/atom

=====

Record 5
DFT (PBE) results for a geometry-optimized PrTiBO5 structure.

CIF file:
```
data_PrTiBO5
_chemical_formula_sum 'Pr4 Ti4 B4 O20'
_symmetry_space_group_name_H-M 'C 1 2/c 1'
_symmetry_Int_Tables_number 15
_cell_length_a 6.4210
_cell_length_b 8.6495
_cell_length_c 6.9185
_cell_angle_alpha 90.00
_cell_angle_beta 111.92
_cell_angle_gamma 90.00
loop_
_symmetry_equiv_pos_as_xyz
'x,y,z'
'-x,-y,-z'
'-x,y,-z+1/2'
'x,-y,z+1/2'
'x+1/2,y+1/2,z'
'-x+1/2,-y+1/2,-z'
'-x+1/2,y+1/2,-z+1/2'
'x+1/2,-y+1/2,z+1/2'
loop_
_atom_site_label
_atom_site_type_symbol
_atom_site_fract_x
_atom_site_fract_y
_atom_site_fract_z
_atom_site_occupancy
Pr1 Pr 0.0000 0.1582 0.2500 1
Ti1 Ti 0.0000 0.5000 0.0000 1
B1 B 0.0000 0.1846 0.7500 1
O1 O 0.0000 0.4268 0.2500 1
O2 O 0.0953 0.2834 0.6228 1
O3 O 0.1752 0.0786 0.9040 1
```

Values from the calculation:
* formation energy without anion corrections: -2.94 eV/atom

=====

Record 6
DFT (PBE) results for a geometry-optimized PrTl2B2O6 structure.

CIF file:
```
data_PrTl2B2O6
_chemical_formula_sum 'Pr2 Tl4 B4 O12'
_symmetry_space_group_name_H-M 'C 1 2/m 1'
_symmetry_Int_Tables_number 12
_cell_length_a 9.8302
_cell_length_b 5.5963
_cell_length_c 7.8354
_cell_angle_alpha 90.00
_cell_angle_beta 128.01
_cell_angle_gamma 90.00
loop_
_symmetry_equiv_pos_as_xyz
'x,y,z'
'-x,-y,-z'
'-x,y,-z'
'x,-y,z'
'x+1/2,y+1/2,z'
'-x+1/2,-y+1/2,-z'
'-x+1/2,y+1/2,-z'
'x+1/2,-y+1/2,z'
loop_
_atom_site_label
_atom_site_type_symbol
_atom_site_fract_x
_atom_site_fract_y
_atom_site_fract_z
_atom_site_occupancy
Pr1 Pr 0.0000 0.0000 0.0000 1
Tl1 Tl 0.1917 0.0000 0.6284 1
B1 B 0.0433 0.5000 0.7575 1
O1 O 0.0374 0.2874 0.2538 1
O2 O 0.1941 0.5000 0.7833 1
```

Values from the calculation:
* formation energy without anion corrections: -2.06 eV/atom

=====

Record 7
DFT (PBE) results for a geometry-optimized PrTlB2O6 structure.

CIF file:
```
data_PrTlB2O6
_chemical_formula_sum 'Pr4 Tl4 B8 O24'
_symmetry_space_group_name_H-M 'C 1 2/c 1'
_symmetry_Int_Tables_number 15
_cell_length_a 8.6457
_cell_length_b 9.6683
_cell_length_c 6.4983
_cell_angle_alpha 90.00
_cell_angle_beta 107.67
_cell_angle_gamma 90.00
loop_
_symmetry_equiv_pos_as_xyz
'x,y,z'
'-x,-y,-z'
'-x,y,-z+1/2'
'x,-y,z+1/2'
'x+1/2,y+1/2,z'
'-x+1/2,-y+1/2,-z'
'-x+1/2,y+1/2,-z+1/2'
'x+1/2,-y+1/2,z+1/2'
loop_
_atom_site_label
_atom_site_type_symbol
_atom_site_fract_x
_atom_site_fract_y
_atom_site_fract_z
_atom_site_occupancy
Pr1 Pr 0.0000 0.1205 0.2500 1
Tl1 Tl 0.0000 0.4183 0.7500 1
B1 B 0.2406 0.1607 0.7530 1
O1 O 0.1038 0.3872 0.1283 1
O2 O 0.1215 0.0770 0.6321 1
O3 O 0.2265 0.3041 0.7490 1
```

Values from the calculation:
* formation energy without anion corrections: -2.26 eV/atom

=====

Record 8
DFT (PBE) results for a geometry-optimized PrUB2O8 structure.

CIF file:
```
data_PrUB2O8
_chemical_formula_sum 'Pr2 U2 B4 O16'
_symmetry_space_group_name_H-M 'I -4'
_symmetry_Int_Tables_number 82
_cell_length_a 4.6944
_cell_length_b 4.6944
_cell_length_c 11.3434
_cell_angle_alpha 90.00
_cell_angle_beta 90.00
_cell_angle_gamma 90.00
loop_
_symmetry_equiv_pos_as_xyz
'x,y,z'
'y,-x,-z'
'-x,-y,z'
'-y,x,-z'
'x+1/2,y+1/2,z+1/2'
'y+1/2,-x+1/2,-z+1/2'
'-x+1/2,-y+1/2,z+1/2'
'-y+1/2,x+1/2,-z+1/2'
loop_
_atom_site_label
_atom_site_type_symbol
_atom_site_fract_x
_atom_site_fract_y
_atom_site_fract_z
_atom_site_occupancy
Pr1 Pr 0.0000 0.0000 0.0000 1
U1 U 0.0000 0.5000 0.7500 1
B1 B 0.0000 0.0000 0.5000 1
B2 B 0.0000 0.5000 0.2500 1
O1 O 0.1053 0.2390 0.5748 1
O2 O 0.1443 0.7449 0.1899 1
```

Values from the calculation:
* formation energy without anion corrections: -2.50 eV/atom

=====

The lowest formation energy without anion corrections belongs to which entry? Pr3Si2BO10

=====

Which of these has the lowest formation energy without anion corrections? Pr3Si2BO10

=====

Look up the formation energy without anion corrections of the fifth one. -2.94 eV/atom